(1)
Below is TlGaPS2 at its PBEsol-relaxed geometry, with properties calculated at the SCAN level.

Cell: 5.051 5.119 5.119 Å, 90.00 90.00 90.00°
Positions (direct):
P 0.500 0.000 0.000
S 0.000 0.000 0.500
S 0.000 0.500 0.000
Ga 0.500 0.500 0.500
Tl 0.000 0.000 0.000

## Properties
**Space group**: P4/mmm
**E_form (uncorrected)**: 0.88 eV/atom


(2)
Below is ScAs2Pt at its PBEsol-relaxed geometry, with properties calculated at the SCAN level.

Cell: 2.905 4.582 5.382 Å, 90.00 102.78 90.00°
Positions (direct):
Sc 0.314 0.500 0.770
Pt 0.693 0.000 0.475
As 0.887 0.000 0.950
As 0.606 0.500 0.304

## Properties
**E above lowest polymorph**: 0.140 eV per atom
**Space group**: Pm
**Formation energy from the elements**: -0.67 eV per atom


(3)
Below is Ba2Al at its PBEsol-relaxed geometry, with properties calculated at the SCAN level.

Cell: 3.534 5.817 5.817 Å, 120.00 90.00 90.00°
Positions (direct):
Ba 0.000 0.667 0.333
Ba 0.000 0.333 0.667
Al 0.500 0.000 0.000

## Properties
**Space group**: P6/mmm
**Formation energy from the elements**: 0.06 eV per atom


(4)
Below is Mg3ZrMo at its PBEsol-relaxed geometry, with properties calculated at the SCAN level.

Cell: 4.910 4.910 4.910 Å, 90.00 90.00 90.00°
Positions (direct):
Mo 0.000 0.000 0.000
Mg 0.500 0.000 0.000
Mg 0.000 0.000 0.500
Mg 0.000 0.500 0.000
Zr 0.500 0.500 0.500

## Properties
**Space group**: Pm-3m
**Formation energy from the elements**: 1.16 eV per atom